First-principles (GGA-PBE) data for crystalline NbTlSbMo2 at its relaxed geometry, as listed in the Alexandria database.

abc: 5.011 5.387 5.011
angles: 90.00 90.00 90.00
Last column: magnetic moment on the atom in μB.
Element x y z (fractional)
Sb: 0.000 0.000 0.000  -0.07
Tl: 0.000 0.500 0.000  0.00
Mo: 0.000 0.000 0.500  1.93
Mo: 0.500 0.000 0.000  1.69
Nb: 0.500 0.500 0.500  -2.14

Properties
VASP energy = -28.09 eV/cell
space-group type = No. 123
uncorrected formation energy = 2.026 eV/atom